This record from Alexandria describes CeMg12 at its PBEsol-relaxed geometry. The functional is SCAN.

Structure (CIF):
```
data_CeMg12
_cell_length_a 10.2569
_cell_length_b 10.2569
_cell_length_c 5.8215
_cell_angle_alpha 90.00
_cell_angle_beta 90.00
_cell_angle_gamma 90.00
_space_group_name_H-M_alt 'I 4/m m m'
_space_group_IT_number 139
_space_group_name_Hall '-I 4 2'
loop_
_atom_site_label
_atom_site_fract_x
_atom_site_fract_y
_atom_site_fract_z
_atom_site_occupancy
Ce1 0.0000 0.0000 0.0000 1
Mg1 0.0000 0.2114 0.5000 1
Mg2 0.0000 0.3514 0.0000 1
Mg3 0.2500 0.2500 0.2500 1
```

Computed properties:
The calculation puts the volume at 23.6 A^3/atom. Its formation energy from the elements is -30 meV/atom. As for the calculated total energy: -8.0489 eV per atom.

This record from Alexandria describes GaFeTeN2 at its PBEsol-relaxed geometry. The functional is SCAN.

Structure (CIF):
```
data_GaFeTeN2
_cell_length_a 3.6907
_cell_length_b 3.6907
_cell_length_c 5.3020
_cell_angle_alpha 90.00
_cell_angle_beta 90.00
_cell_angle_gamma 90.00
_space_group_name_H-M_alt 'P 4/m m m'
_space_group_IT_number 123
_space_group_name_Hall '-P 4 2'
loop_
_atom_site_label
_atom_site_fract_x
_atom_site_fract_y
_atom_site_fract_z
_atom_site_occupancy
Ga1 0.0000 0.0000 0.0000 1
Fe1 0.5000 0.5000 0.5000 1
Te1 0.5000 0.5000 0.0000 1
N1 0.0000 0.5000 0.5000 1
```

Computed properties:
For the energy relative to the elements, uncorrected, the calculation gives 0.90 eV per atom. The calculation puts the volume at 14.4 A^3/atom. As for the offset from the most stable computed form: 0 meV/atom. As for the calculated total energy: -17.1643 eV per atom.

This record from Alexandria describes PIrS2I at its PBEsol-relaxed geometry. The functional is SCAN.

Structure (CIF):
```
data_PIrS2I
_cell_length_a 4.7188
_cell_length_b 4.7188
_cell_length_c 4.5111
_cell_angle_alpha 90.00
_cell_angle_beta 90.00
_cell_angle_gamma 90.00
_space_group_name_H-M_alt 'P 4/m m m'
_space_group_IT_number 123
_space_group_name_Hall '-P 4 2'
loop_
_atom_site_label
_atom_site_fract_x
_atom_site_fract_y
_atom_site_fract_z
_atom_site_occupancy
P1 0.0000 0.0000 0.0000 1
Ir1 0.0000 0.0000 0.5000 1
S1 0.0000 0.5000 0.5000 1
I1 0.5000 0.5000 0.0000 1
```

Computed properties:
For the energy relative to the elements, uncorrected, the calculation gives 0.61 eV per atom. The calculation puts the volume at 20.1 A^3/atom. As for the calculated total energy: -26.8871 eV per atom.

This record from Alexandria describes YBeZn2 at its PBEsol-relaxed geometry. The functional is SCAN.

Structure (CIF):
```
data_YBeZn2
_cell_length_a 5.3982
_cell_length_b 9.8616
_cell_length_c 2.8781
_cell_angle_alpha 90.00
_cell_angle_beta 115.97
_cell_angle_gamma 90.00
_space_group_name_H-M_alt 'C 1 2/m 1'
_space_group_IT_number 12
loop_
_space_group_symop_operation_xyz
'x,y,z'
'-x,-y,-z'
'-x,y,-z'
'x,-y,z'
'x+1/2,y+1/2,z'
'-x+1/2,-y+1/2,-z'
'-x+1/2,y+1/2,-z'
'x+1/2,-y+1/2,z'
loop_
_atom_site_label
_atom_site_fract_x
_atom_site_fract_y
_atom_site_fract_z
_atom_site_occupancy
Y1 0.0000 0.0000 0.0000 1
Be1 0.0000 0.5000 0.0000 1
Zn1 0.2500 0.2500 0.5000 1
```

Computed properties:
The calculation puts the volume at 17.2 A^3/atom. Its formation energy from the elements is 281 meV/atom. As for the calculated total energy: -14.5254 eV per atom.

This record from Alexandria describes AlIn3Ga at its PBEsol-relaxed geometry. The functional is SCAN.

Structure (CIF):
```
data_AlIn3Ga
_cell_length_a 5.2409
_cell_length_b 5.2409
_cell_length_c 5.2409
_cell_angle_alpha 90.00
_cell_angle_beta 90.00
_cell_angle_gamma 90.00
_space_group_name_H-M_alt 'P m -3 m'
_space_group_IT_number 221
_space_group_name_Hall '-P 4 2 3'
loop_
_atom_site_label
_atom_site_fract_x
_atom_site_fract_y
_atom_site_fract_z
_atom_site_occupancy
Al1 0.0000 0.0000 0.0000 1
In1 0.0000 0.0000 0.5000 1
Ga1 0.5000 0.5000 0.5000 1
```

Computed properties:
The calculation puts the volume at 28.8 A^3/atom. Its formation energy from the elements is 463 meV/atom. As for the calculated total energy: -24.3884 eV per atom.

This record from Alexandria describes IrRhCl at its PBEsol-relaxed geometry. The functional is SCAN.

Structure (CIF):
```
data_IrRhCl
_cell_length_a 2.7376
_cell_length_b 4.9783
_cell_length_c 12.8521
_cell_angle_alpha 90.00
_cell_angle_beta 90.00
_cell_angle_gamma 90.00
_space_group_name_H-M_alt 'F m m 2'
_space_group_IT_number 42
_space_group_name_Hall 'F 2 -2'
loop_
_atom_site_label
_atom_site_fract_x
_atom_site_fract_y
_atom_site_fract_z
_atom_site_occupancy
Ir1 0.0000 0.0000 0.0000 1
Rh1 0.0000 0.0000 0.3317 1
Cl1 0.0000 0.0000 0.6693 1
```

Computed properties:
For the energy relative to the elements, uncorrected, the calculation gives 0.52 eV per atom. The calculation puts the volume at 14.6 A^3/atom. As for the offset from the most stable computed form: 7 meV/atom. As for the calculated total energy: -37.0913 eV per atom.

This record from Alexandria describes TeMoBr2 at its PBEsol-relaxed geometry. The functional is SCAN.

Structure (CIF):
```
data_TeMoBr2
_cell_length_a 7.0044
_cell_length_b 7.0044
_cell_length_c 7.0044
_cell_angle_alpha 90.00
_cell_angle_beta 90.00
_cell_angle_gamma 90.00
_space_group_name_H-M_alt 'F -4 3 m'
_space_group_IT_number 216
_space_group_name_Hall 'F -4 2 3'
loop_
_atom_site_label
_atom_site_fract_x
_atom_site_fract_y
_atom_site_fract_z
_atom_site_occupancy
Te1 0.0000 0.0000 0.0000 1
Mo1 0.2500 0.2500 0.2500 1
Br1 0.0000 0.0000 0.5000 1
Br2 0.2500 0.2500 0.7500 1
```

Computed properties:
For the energy relative to the elements, uncorrected, the calculation gives 0.51 eV per atom. The calculation puts the volume at 21.5 A^3/atom. As for the offset from the most stable computed form: 430 meV/atom. As for the calculated total energy: -27.2497 eV per atom.

This record from Alexandria describes Y2Cd at its PBEsol-relaxed geometry. The functional is SCAN.

Structure (CIF):
```
data_Y2Cd
_cell_length_a 5.1559
_cell_length_b 5.1559
_cell_length_c 3.4949
_cell_angle_alpha 90.00
_cell_angle_beta 90.00
_cell_angle_gamma 120.00
_space_group_name_H-M_alt 'P -3 m 1'
_space_group_IT_number 164
_space_group_name_Hall '-P 3 2"'
loop_
_atom_site_label
_atom_site_fract_x
_atom_site_fract_y
_atom_site_fract_z
_atom_site_occupancy
Y1 0.3333 0.6667 0.2160 1
Cd1 0.0000 0.0000 0.5000 1
```

Computed properties:
The calculation puts the volume at 26.8 A^3/atom. Its formation energy from the elements is -152 meV/atom. As for the calculated total energy: -28.8525 eV per atom.

This record from Alexandria describes TlGe3Pd at its PBEsol-relaxed geometry. The functional is SCAN.

Structure (CIF):
```
data_TlGe3Pd
_cell_length_a 5.1474
_cell_length_b 5.1474
_cell_length_c 5.1474
_cell_angle_alpha 90.00
_cell_angle_beta 90.00
_cell_angle_gamma 90.00
_space_group_name_H-M_alt 'P m -3 m'
_space_group_IT_number 221
_space_group_name_Hall '-P 4 2 3'
loop_
_atom_site_label
_atom_site_fract_x
_atom_site_fract_y
_atom_site_fract_z
_atom_site_occupancy
Tl1 0.0000 0.0000 0.0000 1
Ge1 0.0000 0.0000 0.5000 1
Pd1 0.5000 0.5000 0.5000 1
```

Computed properties:
The calculation puts the volume at 27.3 A^3/atom. Its formation energy from the elements is 1339 meV/atom. As for the calculated total energy: -31.1397 eV per atom.

This record from Alexandria describes MoPO5 at its PBEsol-relaxed geometry. The functional is SCAN.

Structure (CIF):
```
data_MoPO5
_cell_length_a 6.2125
_cell_length_b 6.2125
_cell_length_c 4.1949
_cell_angle_alpha 90.00
_cell_angle_beta 90.00
_cell_angle_gamma 90.00
_space_group_name_H-M_alt 'P 4/n'
_space_group_IT_number 85
loop_
_space_group_symop_operation_xyz
'x,y,z'
'-x,-y,-z'
'-y+1/2,x,z'
'y+1/2,-x,-z'
'-x+1/2,-y+1/2,z'
'x+1/2,y+1/2,-z'
'y,-x+1/2,z'
'-y,x+1/2,-z'
loop_
_atom_site_label
_atom_site_fract_x
_atom_site_fract_y
_atom_site_fract_z
_atom_site_occupancy
Mo1 0.2500 0.2500 0.1960 1
P1 0.2500 0.7500 0.5000 1
O1 0.0556 0.6942 0.7115 1
O2 0.2500 0.2500 0.7951 1
```

Computed properties:
For the energy relative to the elements, uncorrected, the calculation gives -2.28 eV per atom. The calculation puts the volume at 11.6 A^3/atom. As for the offset from the most stable computed form: 0 meV/atom. As for the calculated total energy: -13.2004 eV per atom.

This record from Alexandria describes LaP2Os at its PBEsol-relaxed geometry. The functional is SCAN.

Structure (CIF):
```
data_LaP2Os
_cell_length_a 3.9588
_cell_length_b 5.6599
_cell_length_c 6.7934
_cell_angle_alpha 90.00
_cell_angle_beta 90.00
_cell_angle_gamma 90.00
_space_group_name_H-M_alt 'I m m m'
_space_group_IT_number 71
_space_group_name_Hall '-I 2 2'
loop_
_atom_site_label
_atom_site_fract_x
_atom_site_fract_y
_atom_site_fract_z
_atom_site_occupancy
La1 0.0000 0.0000 0.0000 1
P1 0.0000 0.5000 0.1831 1
Os1 0.0000 0.0000 0.5000 1
```

Computed properties:
The calculation puts the volume at 19.0 A^3/atom. As for the offset from the most stable computed form: 0 meV/atom. Its formation energy from the elements is -697 meV/atom. As for the calculated total energy: -34.6425 eV per atom.

This record from Alexandria describes Zr5Rh3 at its PBEsol-relaxed geometry. The functional is SCAN.

Structure (CIF):
```
data_Zr5Rh3
_cell_length_a 7.9446
_cell_length_b 7.9446
_cell_length_c 5.4497
_cell_angle_alpha 90.00
_cell_angle_beta 90.00
_cell_angle_gamma 120.00
_space_group_name_H-M_alt 'P 63/m c m'
_space_group_IT_number 193
_space_group_name_Hall '-P 6c 2'
loop_
_atom_site_label
_atom_site_fract_x
_atom_site_fract_y
_atom_site_fract_z
_atom_site_occupancy
Zr1 0.0000 0.2405 0.2500 1
Zr2 0.3333 0.6667 0.0000 1
Rh1 0.0000 0.3959 0.7500 1
```

Computed properties:
The calculation puts the volume at 18.6 A^3/atom. As for the offset from the most stable computed form: 14 meV/atom. Its formation energy from the elements is -745 meV/atom. As for the calculated total energy: -32.5957 eV per atom.

This record from Alexandria describes MnCrO2F at its PBEsol-relaxed geometry. The functional is SCAN.

Structure (CIF):
```
data_MnCrO2F
_cell_length_a 3.8133
_cell_length_b 3.8133
_cell_length_c 3.7349
_cell_angle_alpha 90.00
_cell_angle_beta 90.00
_cell_angle_gamma 90.00
_space_group_name_H-M_alt 'P 4/m m m'
_space_group_IT_number 123
_space_group_name_Hall '-P 4 2'
loop_
_atom_site_label
_atom_site_fract_x
_atom_site_fract_y
_atom_site_fract_z
_atom_site_occupancy
Mn1 0.0000 0.0000 0.0000 1
Cr1 0.5000 0.5000 0.5000 1
O1 0.0000 0.5000 0.5000 1
F1 0.5000 0.5000 0.0000 1
```

Computed properties:
For the energy relative to the elements, uncorrected, the calculation gives -2.05 eV per atom. The calculation puts the volume at 10.9 A^3/atom. As for the calculated total energy: -12.5751 eV per atom.